Here is crystalline AlTe2AsP at its relaxed geometry from the Alexandria database. Energies are from PBEsol.

```
AlTe2AsP
1.0
4.5920 0.0000 0.0000
0.0000 5.2252 0.0000
0.0000 0.0000 5.2252
P As Te Al
1 1 2 1
direct
0.0000 0.0000 0.0000 P
0.5000 0.5000 0.5000 As
0.0000 0.0000 0.5000 Te
0.0000 0.5000 0.0000 Te
0.5000 0.0000 0.0000 Al
```

=====

Here is crystalline Al2AsPb at its relaxed geometry from the Alexandria database. Energies are from PBEsol.

```
Al2AsPb
1.0
3.7169 0.0000 0.0000
1.8584 3.2189 0.0000
1.8584 1.0730 7.2066
Pb As Al
1 1 2
direct
0.0000 0.0000 0.0000 Pb
0.5000 0.5000 0.5000 As
0.2340 0.2340 0.2979 Al
0.7660 0.7660 0.7021 Al
```

Properties
**Excess energy over the best structure of this formula in the dataset**: 0.000 eV/atom
**Energy of formation from the pure elements**: -12.0 meV/atom

=====

no.,electronic total energy (eV/atom),DOS(E_F) (states/eV/cell)
1,-3.867,2.34
2,-4.334,1.21